Dy6Er2Sc3In: optimized geometry, PBE.

Calculated values
The formation energy is -26 meV/atom.

Unit cell a=5.9589 b=5.9589 c=11.3154 alpha=95.03 beta=95.03 gamma=120.00
Closest atoms and distances in Å follow each position.
Sites, in units of the cell vectors:
Sc1 0.1667 0.8333 0.5000  6 Dy 3.35-3.37, 6 Sc 3.44
Sc2 0.5000 0.5000 0.5000  6 Dy 3.36-3.37, 6 Sc 3.44
Sc3 0.8333 0.1667 0.5000  6 Dy 3.35-3.37, 6 Sc 3.44
Dy1 0.5838 0.9144 0.7437  3 Sc 3.36-3.37, 6 Dy 3.41-3.45, 1 In 3.47, 2 Er 3.48-3.49
Dy2 0.2448 0.2448 0.7430  3 Sc 3.35-3.37, 6 Dy 3.41-3.45, 1 In 3.47, 2 Er 3.49
Dy3 0.7552 0.7552 0.2570  3 Sc 3.35-3.37, 6 Dy 3.41-3.45, 1 In 3.47, 2 Er 3.49
Dy4 0.0856 0.4162 0.2563  3 Sc 3.36-3.37, 6 Dy 3.41-3.45, 1 In 3.47, 2 Er 3.48-3.49
Dy5 0.9144 0.5838 0.7437  3 Sc 3.36-3.37, 6 Dy 3.41-3.45, 1 In 3.47, 2 Er 3.48-3.49
Dy6 0.4162 0.0856 0.2563  3 Sc 3.36-3.37, 6 Dy 3.41-3.45, 1 In 3.47, 2 Er 3.48-3.49
In1 0.0000 0.0000 0.0000  6 Er 3.44, 6 Dy 3.47
Er1 0.6663 0.3337 0.0000  3 Er 3.43-3.44, 3 In 3.44, 6 Dy 3.48-3.49
Er2 0.3337 0.6663 0.0000  3 Er 3.43-3.44, 3 In 3.44, 6 Dy 3.48-3.49


Ac2Sn6Pt: optimized geometry, PBE.

Calculated values
The energy above the most stable polymorph in this dataset comes out at 4.1 kJ per mole of atoms. The formation energy is -542 meV/atom.

Unit cell a=5.9975 b=6.9332 c=6.9332 alpha=60.02 beta=89.99 gamma=89.99
Closest atoms and distances in Å follow each position.
Sites, in units of the cell vectors:
Sn1 0.6966 0.1749 0.6507  1 Pt 2.78
Sn2 0.6966 0.6507 0.1749  1 Pt 2.78
Sn3 0.6963 0.1746 0.1746  1 Pt 2.78
Sn4 0.3037 0.8254 0.8254  1 Pt 2.78
Sn5 0.3034 0.3493 0.8251  1 Pt 2.78
Sn6 0.3034 0.8251 0.3493  1 Pt 2.78
Ac1 0.1840 0.3331 0.3331  12 Sn 3.49-3.62
Ac2 0.8160 0.6669 0.6669  12 Sn 3.49-3.62
Pt1 0.0000 0.0000 0.0000  6 Sn 2.78


NaBiAs3: optimized geometry, PBE.

Calculated values
The energy above the most stable polymorph in this dataset comes out at 19.1 kJ per mole of atoms. The formation energy is 907 meV/atom.

Unit cell a=5.0486 b=5.0486 c=5.0486 alpha=90.00 beta=90.00 gamma=90.00
Closest atoms and distances in Å follow each position.
Sites, in units of the cell vectors:
As1 0.0000 0.0000 0.5000  2 Na 2.52
As2 0.5000 0.0000 0.0000  2 Na 2.52
As3 0.0000 0.5000 0.0000  2 Na 2.52
Na1 0.0000 0.0000 0.0000  6 As 2.52
Bi1 0.5000 0.5000 0.5000  12 As 3.57


PmCd2Ag: optimized geometry, PBE.

Calculated values
The energy above the most stable polymorph in this dataset comes out at 11.0 kJ per mole of atoms. The formation energy is -190 meV/atom.

Unit cell a=3.4915 b=3.4915 c=7.6922 alpha=90.00 beta=90.00 gamma=90.00
Closest atoms and distances in Å follow each position.
Sites, in units of the cell vectors:
Cd1 0.0000 0.0000 0.7879  4 Ag 2.96, 1 Cd 3.26
Cd2 0.0000 0.0000 0.2121  4 Ag 2.96, 1 Cd 3.26
Pm1 0.5000 0.5000 0.5000  8 Cd 3.32, 4 Pm 3.49
Ag1 0.5000 0.5000 0.0000  8 Cd 2.96